Entry 1:
Density functional theory data (meta-GGA SCAN) for BiPtBr3 at its PBEsol-relaxed geometry.

Cell and atoms, written as POSCAR:
```
BiPtBr3
1.0
5.0516 0.0000 0.0000
0.0000 5.0516 0.0000
0.0000 0.0000 5.0516
Br Pt Bi
3 1 1
Direct
0.0000 0.0000 0.5000
0.5000 0.0000 0.0000
0.0000 0.5000 0.0000
0.0000 0.0000 0.0000
0.5000 0.5000 0.5000
```

Results
Total energy ... -41.2885 eV/atom
DOS at the Fermi energy ... 2.97 states/eV/cell



Entry 2:
Density functional theory data (meta-GGA SCAN) for BiPtBr2 at its PBEsol-relaxed geometry.

Cell and atoms, written as POSCAR:
```
BiPtBr2
1.0
-0.1748 -3.5448 -3.5271
2.9870 0.3040 -4.0027
3.8129 -3.1972 -0.5248
Pt Bi Br
1 1 2
Direct
0.0000 0.0000 0.0000
0.5000 0.5000 0.5000
0.2500 0.2500 0.2500
0.7500 0.7500 0.7500
```

Results
Total energy ... -46.3549 eV/atom
DOS at the Fermi energy ... 1.37 states/eV/cell



Entry 3:
Density functional theory data (meta-GGA SCAN) for BiPtSeBr2 at its PBEsol-relaxed geometry.

Cell and atoms, written as POSCAR:
```
BiPtSeBr2
1.0
5.0579 0.0000 0.0000
0.0000 4.9610 0.0000
0.0000 0.0000 4.9610
Br Pt Bi Se
2 1 1 1
Direct
0.0000 0.0000 0.5000
0.0000 0.5000 0.0000
0.0000 0.0000 0.0000
0.5000 0.5000 0.5000
0.5000 0.0000 0.0000
```

Results
Total energy ... -41.4237 eV/atom
DOS at the Fermi energy ... 2.76 states/eV/cell



Entry 4:
Density functional theory data (meta-GGA SCAN) for Re3BiBr at its PBEsol-relaxed geometry.

Cell and atoms, written as POSCAR:
```
Re3BiBr
1.0
5.0332 0.0000 0.0000
0.0000 5.0332 0.0000
0.0000 0.0000 5.0332
Re Bi Br
3 1 1
Direct
0.0000 0.0000 0.5000
0.5000 0.0000 0.0000
0.0000 0.5000 0.0000
0.0000 0.0000 0.0000
0.5000 0.5000 0.5000
```

Results
Total energy ... -58.7603 eV/atom
DOS at the Fermi energy ... 5.29 states/eV/cell



Entry 5:
Density functional theory data (meta-GGA SCAN) for Bi12Rh3Br2 at its PBEsol-relaxed geometry.

Cell and atoms, written as POSCAR:
```
Bi12Rh3Br2
1.0
-0.6846 -5.5540 4.4436
7.3130 -1.3199 5.2224
-6.5144 6.8445 13.2965
Rh Bi Br
6 24 4
Direct
0.8750 0.7500 0.7500
0.3750 0.7500 0.2500
0.5000 0.0000 0.0000
0.3750 0.2500 0.7500
0.2500 0.5000 0.5000
0.3750 0.2500 0.2500
0.6850 0.1059 0.1059
0.2840 0.5768 0.7770
0.2023 0.2455 0.6055
0.9390 0.4232 0.7770
0.2091 0.1059 0.8941
0.0650 0.3941 0.3941
0.5522 0.2455 0.3945
0.5409 0.6059 0.3941
0.1922 0.7545 0.6055
0.1122 0.0768 0.2770
0.2091 0.8941 0.1059
0.8967 0.8941 0.8941
0.5409 0.3941 0.6059
0.0533 0.7545 0.3945
0.6378 0.4232 0.2230
0.1978 0.2545 0.1055
0.5477 0.2545 0.8945
0.1392 0.5768 0.2230
0.4660 0.9232 0.7230
0.6967 0.7455 0.1055
0.5578 0.7455 0.8945
0.6108 0.9232 0.2770
0.8533 0.6059 0.6059
0.8110 0.0768 0.7230
0.7923 0.4153 0.0000
0.9577 0.0847 0.5000
0.5423 0.9153 0.5000
0.2077 0.5847 0.0000
```

Results
Total energy ... -63.9360 eV/atom
DOS at the Fermi energy ... 2.70 states/eV/cell



Entry 6:
Density functional theory data (meta-GGA SCAN) for BiRh2Br at its PBEsol-relaxed geometry.

Cell and atoms, written as POSCAR:
```
BiRh2Br
1.0
4.6515 0.0000 0.0000
2.3257 4.0283 0.0000
2.3257 1.3428 3.7979
Rh Bi Br
2 1 1
Direct
0.2500 0.2500 0.2500
0.7500 0.7500 0.7500
0.5000 0.5000 0.5000
0.0000 0.0000 0.0000
```

Results
Total energy ... -40.9959 eV/atom
DOS at the Fermi energy ... 5.73 states/eV/cell